Below is crystalline Nd12Y6Cd at its relaxed geometry, with properties calculated at the PBE-GGA level.

Its energy is -5.00 eV/atom. As for the density of states at the Fermi level: 80.50 states/eV/cell. For the formation energy, the calculation gives 0.10 eV/atom.

It has space group R-3 (No. 148, hexagonal axes), with a = 13.2491 Å, b = 13.2491 Å, c = 12.9436 Å, α = 90.00°, β = 90.00° and γ = 120.00°. The distinct sites, in fractional coordinates, are Nd at (0.0004, 0.2591, 0.0002), Nd at (0.0584, 0.5293, 0.1114), Y at (0.0894, 0.1796, 0.7721) and Cd at (0.0000, 0.0000, 0.0000).